## one
# RbLuW2O8 | the Alexandria database | PBE+U | relaxed
data_RbLuW2O8
_chemical_formula_sum 'Rb4 Lu4 W8 O32'
_cell_length_a 11.0674
_cell_length_b 10.5460
_cell_length_c 7.4562
_cell_angle_alpha 90.00
_cell_angle_beta 130.65
_cell_angle_gamma 90.00
_symmetry_space_group_name_H-M 'C 1 2/c 1'
_symmetry_Int_Tables_number 15
loop_
_symmetry_equiv_pos_as_xyz
'x,y,z'
'-x,-y,-z'
'-x,y,-z+1/2'
'x,-y,z+1/2'
'x+1/2,y+1/2,z'
'-x+1/2,-y+1/2,-z'
'-x+1/2,y+1/2,-z+1/2'
'x+1/2,-y+1/2,z+1/2'
loop_
_atom_site_label
_atom_site_type_symbol
_atom_site_fract_x
_atom_site_fract_y
_atom_site_fract_z
Rb1 Rb 0.0000 0.2038 0.2500
Lu1 Lu 0.0000 0.2223 0.7500
W1 W 0.1953 0.4962 0.7087
O1 O 0.0108 0.3874 0.9544
O2 O 0.1440 0.1033 0.7081
O3 O 0.1868 0.4360 0.4382
O4 O 0.1947 0.1467 0.1132
# * total moment: 0.0 μB/cell
# * density of states at the Fermi level: 0.00 states/eV/atom


## two
# RbLuW2O8 | the Alexandria database | PBE+U | relaxed
data_RbLuW2O8
_chemical_formula_sum 'Rb1 Lu1 W2 O8'
_cell_length_a 6.0280
_cell_length_b 6.0280
_cell_length_c 7.8831
_cell_angle_alpha 90.00
_cell_angle_beta 90.00
_cell_angle_gamma 120.00
_symmetry_space_group_name_H-M 'P -3 m 1'
_symmetry_Int_Tables_number 164
_symmetry_space_group_name_Hall '-P 3 2"'
loop_
_atom_site_label
_atom_site_type_symbol
_atom_site_fract_x
_atom_site_fract_y
_atom_site_fract_z
Rb1 Rb 0.0000 0.0000 0.0000
Lu1 Lu 0.0000 0.0000 0.5000
W1 W 0.3333 0.6667 0.2586
O1 O 0.1672 0.3344 0.3318
O2 O 0.3333 0.6667 0.0333
# * total moment: 0.0 μB/cell
# * density of states at the Fermi level: 0.00 states/eV/atom


Ranking the structures above from most stable to least stable yields one, two.